## LiAl4Pd7 (PBE-GGA)

Data for an optimized crystal structure of LiAl4Pd7.

Cell lengths 4.380, 7.524, 6.382 Å; angles 81.23, 69.93, 73.08 degrees
Positions (direct):
Pd  0.784  0.863  0.568
Al  0.711  0.658  0.919
Pd  0.216  0.137  0.432
Pd  0.500  0.000  0.000
Al  0.422  0.791  0.365
Li  0.000  0.000  0.000
Pd  0.645  0.423  0.286
Al  0.289  0.342  0.081
Pd  0.076  0.675  0.173
Pd  0.355  0.577  0.714
Pd  0.924  0.325  0.827
Al  0.578  0.209  0.635

Calculated values
space group	C2/m, No. 12
energy of formation from the pure elements	-0.646	eV per atom
energy	-60.98	eV per formula unit